This record from Alexandria via LeMat-Bulk describes VCd2AuO after structural relaxation. The functional is GGA+U.

## Properties
Uncorrected energy = -3.76 eV/atom

The structure in POSCAR format:
```
VCd2AuO
1.0
4.8834 0.0000 0.0000
0.0000 3.8103 0.0000
0.0000 0.0000 4.8834
Cd V O Au
2 1 1 1
Direct
0.5000 0.0000 0.0000 Cd
0.0000 0.0000 0.5000 Cd
0.0000 0.5000 0.0000 V
0.0000 0.0000 0.0000 O
0.5000 0.5000 0.5000 Au
```